# Be2CrMo2 (PBE, relaxed)
data_Be2CrMo2
_chemical_formula_sum 'Be4 Cr2 Mo4'
_cell_length_a 6.045
_cell_length_b 6.045
_cell_length_c 3.191
_cell_angle_alpha 90.00
_cell_angle_beta 90.00
_cell_angle_gamma 90.00
_symmetry_space_group_name_H-M 'P 1'
_symmetry_Int_Tables_number 1
_symmetry_space_group_name_Hall 'P 1'
loop_
_atom_site_label
_atom_site_type_symbol
_atom_site_fract_x
_atom_site_fract_y
_atom_site_fract_z
_atom_site_occupancy
Mo1 Mo 0.678 0.822 0.500 1
Mo2 Mo 0.822 0.322 0.500 1
Mo3 Mo 0.322 0.178 0.500 1
Mo4 Mo 0.178 0.678 0.500 1
Be1 Be 0.620 0.120 0.000 1
Be2 Be 0.120 0.380 0.000 1
Be3 Be 0.880 0.620 0.000 1
Be4 Be 0.380 0.880 0.000 1
Cr1 Cr 0.500 0.500 0.000 1
Cr2 Cr 0.000 0.000 0.000 1
# - Energy of formation: -0.75 eV/f.u.
# - Symmetry: No. 127
# - Offset from the most stable computed form: 0 meV per atom
# - Total magnetization: 0.0 μB per cell